VASP calculation (GGA-PBE) on a relaxed Sr3IrPd crystal.

```
Sr3IrPd
1.0
-3.6333 4.0408 1.7049
-4.3117 -2.8860 -2.3485
-0.8023 -2.7890 4.9003
Sr Ir Pd
3 1 1
direct
0.0000 0.5000 0.0000 Sr
0.0000 0.0000 0.5000 Sr
0.5000 0.0000 0.0000 Sr
0.0000 0.0000 0.0000 Ir
0.5000 0.5000 0.5000 Pd
```

Output
D(E_F)   5.8 states/eV/cell
Magnetic moment   0.000 μB/atom
ΔH_f (0 K)   0.016 eV per atom

***

VASP calculation (GGA-PBE) on a relaxed SrIrPd2 crystal.

```
SrIrPd2
1.0
4.7962 0.0000 0.0000
0.0000 4.7962 0.0000
2.3981 2.3981 8.8216
Sr Ir Pd
2 2 4
direct
0.5000 0.5000 0.0000 Sr
0.2500 0.7500 0.5000 Sr
0.0000 0.0000 0.0000 Ir
0.7500 0.2500 0.5000 Ir
0.7946 0.1250 0.2500 Pd
0.9554 0.6250 0.2500 Pd
0.3750 0.2054 0.7500 Pd
0.8750 0.0446 0.7500 Pd
```

Output
D(E_F)   6.7 states/eV/cell
Magnetic moment   0.000 μB/atom
ΔH_f (0 K)   0.160 eV per atom

***

VASP calculation (GGA-PBE) on a relaxed SrIr3Pd crystal.

```
SrIr3Pd
1.0
-1.0737 -3.7827 2.8694
-0.0809 -2.9268 -3.8887
4.7471 -0.9054 0.5827
Sr Ir Pd
1 3 1
direct
0.5000 0.5000 0.5000 Sr
0.0000 0.5000 0.0000 Ir
0.0000 0.0000 0.5000 Ir
0.5000 0.0000 0.0000 Ir
0.0000 0.0000 0.0000 Pd
```

Output
D(E_F)   5.5 states/eV/cell
Magnetic moment   0.684 μB/atom
ΔH_f (0 K)   1.227 eV per atom

***

VASP calculation (GGA-PBE) on a relaxed SrIrPd3 crystal.

```
SrIrPd3
1.0
4.9375 0.0000 0.0000
0.0000 4.9375 0.0000
0.0000 0.0000 4.9375
Sr Ir Pd
1 1 3
direct
0.5000 0.5000 0.5000 Sr
0.0000 0.0000 0.0000 Ir
0.0000 0.5000 0.0000 Pd
0.0000 0.0000 0.5000 Pd
0.5000 0.0000 0.0000 Pd
```

Output
D(E_F)   7.6 states/eV/cell
Magnetic moment   0.184 μB/atom
ΔH_f (0 K)   0.317 eV per atom

***

VASP calculation (GGA-PBE) on a relaxed SrIr2Pd2 crystal.

```
SrIr2Pd2
1.0
7.9291 0.0000 0.0000
0.0000 7.9291 0.0000
0.0000 0.0000 2.8574
Sr Ir Pd
2 4 4
direct
0.0000 0.0000 0.0000 Sr
0.5000 0.5000 0.0000 Sr
0.3849 0.8849 0.0000 Ir
0.8849 0.6151 0.0000 Ir
0.6151 0.1151 0.0000 Ir
0.1151 0.3849 0.0000 Ir
0.1833 0.6833 0.5000 Pd
0.6833 0.8167 0.5000 Pd
0.8167 0.3167 0.5000 Pd
0.3167 0.1833 0.5000 Pd
```

Output
D(E_F)   12.6 states/eV/cell
Magnetic moment   0.000 μB/atom
ΔH_f (0 K)   0.064 eV per atom

***

VASP calculation (GGA-PBE) on a relaxed Sr8Ir2Pd crystal.

```
Sr8Ir2Pd
1.0
6.2811 0.0002 0.0000
-0.0007 8.1423 -4.7015
0.0006 -0.0049 9.4001
Sr Ir Pd
8 2 1
direct
0.2575 0.6667 0.3332 Sr
0.7425 0.3333 0.6668 Sr
0.7535 0.8375 0.1603 Sr
0.2466 0.1604 0.3229 Sr
0.2465 0.6771 0.8374 Sr
0.2465 0.1625 0.8397 Sr
0.7534 0.8396 0.6771 Sr
0.7535 0.3229 0.1626 Sr
0.2352 0.3333 0.6668 Ir
0.7648 0.6667 0.3332 Ir
0.0000 0.0000 0.0000 Pd
```

Output
D(E_F)   7.1 states/eV/cell
Magnetic moment   0.000 μB/atom
ΔH_f (0 K)   -0.015 eV per atom

***

VASP calculation (GGA-PBE) on a relaxed SrIr3Pd crystal.

```
SrIr3Pd
1.0
4.9172 0.0000 0.0000
0.0000 4.9172 0.0000
0.0000 0.0000 4.9172
Sr Ir Pd
1 3 1
direct
0.0000 0.0000 0.0000 Sr
0.0000 0.5000 0.0000 Ir
0.0000 0.0000 0.5000 Ir
0.5000 0.0000 0.0000 Ir
0.5000 0.5000 0.5000 Pd
```

Output
D(E_F)   7.6 states/eV/cell
Magnetic moment   0.561 μB/atom
ΔH_f (0 K)   2.827 eV per atom

***

VASP calculation (GGA-PBE) on a relaxed Sr6IrPd2 crystal.

```
Sr6IrPd2
1.0
7.2681 0.0000 -0.1044
0.0000 8.1685 0.0000
0.2039 0.0000 10.8238
Sr Ir Pd
12 2 4
direct
0.1493 0.0488 0.2530 Sr
0.1630 0.3154 0.5663 Sr
0.1706 0.3317 0.9267 Sr
0.3294 0.8317 0.5733 Sr
0.3370 0.8154 0.9337 Sr
0.3507 0.5488 0.2470 Sr
0.8507 0.9512 0.7470 Sr
0.8370 0.6846 0.4337 Sr
0.8294 0.6683 0.0733 Sr
0.6706 0.1683 0.4267 Sr
0.6630 0.1846 0.0663 Sr
0.6493 0.4512 0.7530 Sr
0.5000 0.5000 0.0000 Ir
0.0000 0.0000 0.5000 Ir
0.0474 0.6127 0.7413 Pd
0.4526 0.1127 0.7587 Pd
0.5474 0.8873 0.2413 Pd
0.9526 0.3873 0.2587 Pd
```

Output
D(E_F)   9.9 states/eV/cell
Magnetic moment   0.000 μB/atom
ΔH_f (0 K)   -0.339 eV per atom

***

VASP calculation (GGA-PBE) on a relaxed SrTbIrPd crystal.

```
SrTbIrPd
1.0
-1.6500 4.3961 1.7848
-3.3280 2.6893 -2.6316
-4.7315 0.4320 1.6308
Sr Ir Tb Pd
1 1 1 1
direct
0.2500 0.2500 0.2500 Sr
0.0000 0.0000 0.0000 Ir
0.7500 0.7500 0.7500 Tb
0.5000 0.5000 0.5000 Pd
```

Output
D(E_F)   1.1 states/eV/cell
Magnetic moment   0.000 μB/atom
ΔH_f (0 K)   -0.517 eV per atom

***

VASP calculation (GGA-PBE) on a relaxed Sr2TiIrPd crystal.

```
Sr2TiIrPd
1.0
-4.1755 4.2700 -0.2659
-2.8008 -2.6004 2.2229
1.9905 2.2678 5.1608
Sr Ir Pd Ti
2 1 1 1
direct
0.0000 0.0000 0.5000 Sr
0.5000 0.0000 0.0000 Sr
0.0000 0.5000 0.0000 Ir
0.5000 0.5000 0.5000 Pd
0.0000 0.0000 0.0000 Ti
```

Output
D(E_F)   4.6 states/eV/cell
Magnetic moment   0.186 μB/atom
ΔH_f (0 K)   0.578 eV per atom

***

VASP calculation (GGA-PBE) on a relaxed SrYIrPd crystal.

```
SrYIrPd
1.0
-0.6398 -4.3767 2.3751
3.6307 -3.4660 -0.1027
2.6273 -1.0072 4.1580
Y Sr Ir Pd
1 1 1 1
direct
0.0000 0.0000 0.0000 Y
0.5000 0.5000 0.5000 Sr
0.2500 0.2500 0.2500 Ir
0.7500 0.7500 0.7500 Pd
```

Output
D(E_F)   1.1 states/eV/cell
Magnetic moment   0.000 μB/atom
ΔH_f (0 K)   -0.512 eV per atom

***

VASP calculation (GGA-PBE) on a relaxed SrZrIrPd2 crystal.

```
SrZrIrPd2
1.0
4.7755 0.0000 0.0000
0.0000 5.4621 0.0000
0.0000 0.0000 4.7755
Sr Ir Zr Pd
1 1 1 2
direct
0.0000 0.0000 0.0000 Sr
0.5000 0.5000 0.5000 Ir
0.0000 0.5000 0.0000 Zr
0.0000 0.0000 0.5000 Pd
0.5000 0.0000 0.0000 Pd
```

Output
D(E_F)   4.0 states/eV/cell
Magnetic moment   0.000 μB/atom
ΔH_f (0 K)   1.770 eV per atom

***

VASP calculation (GGA-PBE) on a relaxed TaIr3Pd crystal.

```
TaIr3Pd
1.0
4.7450 0.0000 0.0000
0.0000 4.7450 0.0000
0.0000 0.0000 4.7450
Ir Pd Ta
3 1 1
direct
0.0000 0.5000 0.0000 Ir
0.0000 0.0000 0.5000 Ir
0.5000 0.0000 0.0000 Ir
0.5000 0.5000 0.5000 Pd
0.0000 0.0000 0.0000 Ta
```

Output
D(E_F)   7.2 states/eV/cell
Magnetic moment   0.072 μB/atom
ΔH_f (0 K)   1.566 eV per atom

***

VASP calculation (GGA-PBE) on a relaxed TaIr2Pd crystal.

```
TaIr2Pd
1.0
3.8430 0.0000 0.0000
0.0000 3.9876 0.0000
0.0000 0.0000 3.9876
Ir Pd Ta
2 1 1
direct
0.0000 0.0000 0.5000 Ir
0.0000 0.5000 0.0000 Ir
0.5000 0.5000 0.5000 Pd
0.5000 0.0000 0.0000 Ta
```

Output
D(E_F)   3.2 states/eV/cell
Magnetic moment   0.000 μB/atom
ΔH_f (0 K)   -0.518 eV per atom

***

VASP calculation (GGA-PBE) on a relaxed TaIr2Pd crystal.

```
TaIr2Pd
1.0
7.1966 0.0000 0.0000
0.0000 7.1966 0.0000
3.5983 3.5983 2.6880
Ir Pd Ta
4 2 2
direct
0.6511 0.1250 0.2500 Ir
0.0989 0.6250 0.2500 Ir
0.3750 0.3489 0.7500 Ir
0.8750 0.9011 0.7500 Ir
0.5000 0.5000 0.0000 Pd
0.2500 0.7500 0.5000 Pd
0.0000 0.0000 0.0000 Ta
0.7500 0.2500 0.5000 Ta
```

Output
D(E_F)   8.2 states/eV/cell
Magnetic moment   0.000 μB/atom
ΔH_f (0 K)   0.125 eV per atom

***

VASP calculation (GGA-PBE) on a relaxed Ta4Ir3Pd crystal.

```
Ta4Ir3Pd
1.0
4.9080 0.0000 0.0000
0.0000 5.7356 0.0000
0.0000 0.0000 9.2147
Ir Pd Ta
6 2 8
direct
0.0000 0.0000 0.0000 Ir
0.0000 0.0000 0.5000 Ir
0.6413 0.0000 0.7500 Ir
0.3587 0.0000 0.2500 Ir
0.6374 0.5000 0.7500 Ir
0.3626 0.5000 0.2500 Ir
0.0000 0.5000 0.0000 Pd
0.0000 0.5000 0.5000 Pd
0.5000 0.7531 0.0000 Ta
0.5000 0.7531 0.5000 Ta
0.5000 0.2469 0.0000 Ta
0.5000 0.2469 0.5000 Ta
0.1369 0.7558 0.7500 Ta
0.8631 0.7558 0.2500 Ta
0.8631 0.2442 0.2500 Ta
0.1369 0.2442 0.7500 Ta
```

Output
D(E_F)   16.1 states/eV/cell
Magnetic moment   0.000 μB/atom
ΔH_f (0 K)   -0.509 eV per atom

***

VASP calculation (GGA-PBE) on a relaxed TaIr3Pd crystal.

```
TaIr3Pd
1.0
4.6462 0.0000 0.0000
0.0000 4.6462 0.0000
0.0000 0.0000 4.6462
Ir Pd Ta
3 1 1
direct
0.0000 0.5000 0.0000 Ir
0.0000 0.0000 0.5000 Ir
0.5000 0.0000 0.0000 Ir
0.0000 0.0000 0.0000 Pd
0.5000 0.5000 0.5000 Ta
```

Output
D(E_F)   8.6 states/eV/cell
Magnetic moment   0.163 μB/atom
ΔH_f (0 K)   2.024 eV per atom

***

VASP calculation (GGA-PBE) on a relaxed Ta2IrPd2 crystal.

```
Ta2IrPd2
1.0
7.5565 0.0000 0.0000
0.0000 7.5565 0.0000
0.0000 0.0000 3.0008
Ir Pd Ta
2 4 4
direct
0.0000 0.0000 0.0000 Ir
0.5000 0.5000 0.0000 Ir
0.1259 0.6259 0.5000 Pd
0.6259 0.8741 0.5000 Pd
0.8741 0.3741 0.5000 Pd
0.3741 0.1259 0.5000 Pd
0.3286 0.8286 0.0000 Ta
0.8286 0.6714 0.0000 Ta
0.6714 0.1714 0.0000 Ta
0.1714 0.3286 0.0000 Ta
```

Output
D(E_F)   10.1 states/eV/cell
Magnetic moment   0.000 μB/atom
ΔH_f (0 K)   0.111 eV per atom

***

VASP calculation (GGA-PBE) on a relaxed TaIrPd crystal.

```
TaIrPd
1.0
4.1082 0.0000 0.0000
0.0000 3.4606 -0.9012
0.0000 -0.0951 6.7301
Ta Ir Pd
2 2 2
direct
0.2500 0.0944 0.1888 Ta
0.7500 0.9056 0.8112 Ta
0.2500 0.4275 0.8549 Ir
0.7500 0.5725 0.1451 Ir
0.2500 0.7549 0.5097 Pd
0.7500 0.2451 0.4903 Pd
```

Output
D(E_F)   2.5 states/eV/cell
Magnetic moment   0.000 μB/atom
ΔH_f (0 K)   -0.511 eV per atom

***

VASP calculation (GGA-PBE) on a relaxed Ta2IrPd2 crystal.

```
Ta2IrPd2
1.0
-3.5232 0.5491 0.4149
-0.6653 -3.2712 -1.3203
-1.7590 -3.9737 5.8516
Ir Pd Ta
1 2 2
direct
0.0000 0.0000 0.0000 Ir
0.7500 0.2500 0.5000 Pd
0.2500 0.7500 0.5000 Pd
0.4035 0.4035 0.1931 Ta
0.5965 0.5965 0.8069 Ta
```

Output
D(E_F)   5.2 states/eV/cell
Magnetic moment   0.000 μB/atom
ΔH_f (0 K)   0.158 eV per atom

***

VASP calculation (GGA-PBE) on a relaxed Ta2IrPd2 crystal.

```
Ta2IrPd2
1.0
7.1825 0.0000 0.0000
0.0000 7.1825 0.0000
0.0000 0.0000 3.2086
Ir Pd Ta
2 4 4
direct
0.0000 0.0000 0.0000 Ir
0.5000 0.5000 0.0000 Ir
0.3719 0.8719 0.0000 Pd
0.8719 0.6281 0.0000 Pd
0.6281 0.1281 0.0000 Pd
0.1281 0.3719 0.0000 Pd
0.1760 0.6760 0.5000 Ta
0.6760 0.8240 0.5000 Ta
0.8240 0.3240 0.5000 Ta
0.3240 0.1760 0.5000 Ta
```

Output
D(E_F)   6.8 states/eV/cell
Magnetic moment   0.000 μB/atom
ΔH_f (0 K)   -0.122 eV per atom

***

VASP calculation (GGA-PBE) on a relaxed Ta2IrPd3 crystal.

```
Ta2IrPd3
1.0
-2.5691 -1.8848 -2.2285
-0.0131 -2.7753 5.7546
-4.9872 7.6337 -0.7069
Ta Ir Pd
4 2 6
direct
0.5274 0.0547 0.8581 Ta
0.4726 0.9453 0.1419 Ta
0.7838 0.5676 0.1364 Ta
0.2162 0.4324 0.8636 Ta
0.8770 0.7540 0.8825 Ir
0.1230 0.2460 0.1175 Ir
0.2917 0.5835 0.6226 Pd
0.9635 0.9269 0.6343 Pd
0.6278 0.2557 0.6331 Pd
0.3722 0.7443 0.3669 Pd
0.0365 0.0731 0.3657 Pd
0.7083 0.4165 0.3774 Pd
```

Output
D(E_F)   7.0 states/eV/cell
Magnetic moment   0.000 μB/atom
ΔH_f (0 K)   -0.397 eV per atom

***

VASP calculation (GGA-PBE) on a relaxed Ta3Ir2Pd2 crystal.

```
Ta3Ir2Pd2
1.0
4.1070 0.0000 0.5450
0.0000 2.8538 0.0000
0.7733 0.0000 9.9191
Ta Ir Pd
3 2 2
direct
0.8428 0.0000 0.3145 Ta
0.0000 0.0000 0.0000 Ta
0.1572 0.0000 0.6855 Ta
0.7078 0.5000 0.5844 Ir
0.2922 0.5000 0.4156 Ir
0.5696 0.5000 0.8607 Pd
0.4304 0.5000 0.1393 Pd
```

Output
D(E_F)   6.2 states/eV/cell
Magnetic moment   0.000 μB/atom
ΔH_f (0 K)   -0.332 eV per atom

***

VASP calculation (GGA-PBE) on a relaxed TaIrPd crystal.

```
TaIrPd
1.0
-2.3097 0.0105 -1.5137
-1.5695 -3.4629 2.3709
-0.8512 4.1938 1.3280
Ir Pd Ta
1 1 1
direct
0.1666 0.0000 0.0000 Ir
0.1667 0.6667 0.3333 Pd
0.6667 0.3333 0.6667 Ta
```

Output
D(E_F)   4.6 states/eV/cell
Magnetic moment   0.000 μB/atom
ΔH_f (0 K)   -0.180 eV per atom

***

VASP calculation (GGA-PBE) on a relaxed Ta2IrPd6 crystal.

```
Ta2IrPd6
1.0
-2.8674 2.1370 -1.5362
-2.3469 -5.1590 -2.7961
-1.0906 -0.5282 6.2315
Ta Ir Pd
2 1 6
direct
0.9415 0.1856 0.8830 Ta
0.0585 0.8144 0.1170 Ta
0.5000 0.5000 0.0000 Ir
0.3958 0.8368 0.7916 Pd
0.6042 0.1632 0.2084 Pd
0.7198 0.8373 0.4396 Pd
0.1652 0.5002 0.3303 Pd
0.2802 0.1627 0.5604 Pd
0.8348 0.4998 0.6697 Pd
```

Output
D(E_F)   4.9 states/eV/cell
Magnetic moment   0.000 μB/atom
ΔH_f (0 K)   -0.405 eV per atom

***

VASP calculation (GGA-PBE) on a relaxed TaIrPd crystal.

```
TaIrPd
1.0
-1.7317 -1.2146 1.9248
1.9018 -2.1008 0.3854
2.4750 4.7565 3.1036
Ir Pd Ta
1 1 1
direct
0.2898 0.2898 0.5795 Ir
0.6151 0.6151 0.2302 Pd
0.9452 0.9452 0.8903 Ta
```

Output
D(E_F)   3.1 states/eV/cell
Magnetic moment   0.000 μB/atom
ΔH_f (0 K)   -0.330 eV per atom